(1)
ZrSiRu | GGA-PBE | relaxed

Space group = F-43m, No. 216
VASP energy = -8.14 eV per atom

Unit cell a=4.294 b=4.294 c=4.294 alpha=60.00 beta=60.00 gamma=60.00
Positions (direct):
Zr: 0.000 0.000 0.000
Si: 0.500 0.500 0.500
Ru: 0.750 0.750 0.750

---

(2)
Pm2YSb | GGA-PBE | relaxed

Relative energy among the computed polymorphs = 0.539 eV/atom
Space group = R-3m, No. 166
VASP energy = -5.00 eV per atom

Unit cell a=12.376 b=12.376 c=12.376 alpha=16.51 beta=16.51 gamma=16.51
Positions (direct):
Pm: 0.086 0.086 0.086
Pm: 0.914 0.914 0.914
Y: 0.500 0.500 0.500
Sb: 0.000 0.000 0.000

---

(3)
GdPa2N | GGA-PBE | relaxed

Space group = R-3m, No. 166
VASP energy = -10.91 eV per atom

Unit cell a=9.157 b=9.157 c=9.157 alpha=21.37 beta=21.37 gamma=21.37
Positions (direct):
Gd: 0.000 0.000 0.000
Pa: 0.220 0.220 0.220
Pa: 0.780 0.780 0.780
N: 0.500 0.500 0.500

---

(4)
AgSb2Br | GGA-PBE | relaxed

Relative energy among the computed polymorphs = 0.204 eV/atom
Space group = Cmm2, No. 35
VASP energy = -3.11 eV per atom

Unit cell a=3.593 b=3.593 c=8.924 alpha=90.00 beta=90.00 gamma=110.94
Positions (direct):
Ag: 0.000 0.000 0.000
Sb: 0.000 0.000 0.514
Sb: 0.500 0.500 0.759
Br: 0.500 0.500 0.200

---

(5)
Nb14CrOs | GGA-PBE | relaxed

Space group = P4/mmm, No. 123
VASP energy = -10.18 eV per atom

Unit cell a=6.530 b=6.530 c=6.579 alpha=90.00 beta=90.00 gamma=90.00
Positions (direct):
Nb: 0.000 0.000 0.000
Nb: 0.000 0.500 0.000
Nb: 0.000 0.500 0.500
Nb: 0.249 0.249 0.257
Nb: 0.249 0.249 0.743
Nb: 0.249 0.751 0.257
Nb: 0.249 0.751 0.743
Nb: 0.500 0.000 0.000
Nb: 0.500 0.000 0.500
Nb: 0.500 0.500 0.000
Nb: 0.751 0.249 0.257
Nb: 0.751 0.249 0.743
Nb: 0.751 0.751 0.257
Nb: 0.751 0.751 0.743
Cr: 0.000 0.000 0.500
Os: 0.500 0.500 0.500

---

(6)
Mg2TlCd | GGA-PBE | relaxed

Space group = R3m, No. 160
VASP energy = -1.65 eV per atom

Unit cell a=9.951 b=9.951 c=9.951 alpha=19.47 beta=19.47 gamma=19.47
Positions (direct):
Mg: 0.000 0.000 0.000
Mg: 0.159 0.159 0.159
Tl: 0.580 0.580 0.580
Cd: 0.747 0.747 0.747

---

(7)
HfZrInW2 | GGA-PBE | relaxed

Space group = P4/mmm, No. 123
VASP energy = -7.64 eV per atom

Unit cell a=4.830 b=4.830 c=5.136 alpha=90.00 beta=90.00 gamma=90.00
Positions (direct):
Hf: 0.000 0.000 0.000
Zr: 0.000 0.000 0.500
In: 0.500 0.500 0.500
W: 0.000 0.500 0.000
W: 0.500 0.000 0.000

---

(8)
ZrAlTc | GGA-PBE | relaxed

Relative energy among the computed polymorphs = 0.092 eV/atom
Space group = I4mm, No. 107
VASP energy = -7.97 eV per atom

Unit cell a=5.196 b=5.196 c=5.196 alpha=142.27 beta=142.27 gamma=54.42
Positions (direct):
Zr: 0.000 0.000 0.000
Al: 0.693 0.693 0.000
Tc: 0.335 0.335 0.000

---

(9)
Zn2SbOs | GGA-PBE | relaxed

Space group = I-42d, No. 122
VASP energy = -4.01 eV per atom

Unit cell a=9.808 b=9.808 c=9.808 alpha=156.77 beta=156.77 gamma=33.09
Positions (direct):
Zn: 0.066 0.625 0.941
Zn: 0.375 0.316 0.441
Zn: 0.684 0.125 0.059
Zn: 0.875 0.934 0.559
Sb: 0.250 0.750 0.500
Sb: 0.500 0.500 0.000
Os: 0.000 0.000 0.000
Os: 0.750 0.250 0.500

---

(10)
CeY3Ho2Te6 | GGA-PBE | relaxed

Space group = C2/m, No. 12
VASP energy = -5.75 eV per atom

Unit cell a=9.788 b=9.788 c=8.813 alpha=103.00 beta=103.00 gamma=25.68
Positions (direct):
Ce: 0.000 0.000 0.000
Y: 0.000 0.000 0.500
Y: 0.337 0.337 0.167
Y: 0.663 0.663 0.833
Ho: 0.337 0.337 0.672
Ho: 0.663 0.663 0.328
Te: 0.169 0.169 0.581
Te: 0.171 0.171 0.086
Te: 0.499 0.499 0.742
Te: 0.501 0.501 0.258
Te: 0.829 0.829 0.914
Te: 0.831 0.831 0.419

---

(11)
Ca2YHg8 | GGA-PBE | relaxed

Space group = C2/m, No. 12
VASP energy = -1.52 eV per atom

Unit cell a=8.478 b=8.478 c=7.746 alpha=117.13 beta=117.13 gamma=35.49
Positions (direct):
Ca: 0.209 0.209 0.209
Ca: 0.791 0.791 0.791
Y: 0.500 0.500 0.500
Hg: 0.000 0.000 0.199
Hg: 0.000 0.000 0.801
Hg: 0.151 0.151 0.651
Hg: 0.363 0.363 0.059
Hg: 0.363 0.363 0.667
Hg: 0.637 0.637 0.333
Hg: 0.637 0.637 0.941
Hg: 0.849 0.849 0.349

---

(12)
PmPaCl6 | GGA-PBE | relaxed

Space group = R-3, No. 148
VASP energy = -5.09 eV per atom

Unit cell a=7.549 b=7.549 c=7.549 alpha=55.56 beta=55.56 gamma=55.56
Positions (direct):
Pm: 0.000 0.000 0.000
Pa: 0.500 0.500 0.500
Cl: 0.112 0.387 0.751
Cl: 0.249 0.888 0.613
Cl: 0.387 0.751 0.112
Cl: 0.613 0.249 0.888
Cl: 0.751 0.112 0.387
Cl: 0.888 0.613 0.249

---

(13)
ErNbAl4 | GGA-PBE | relaxed

Space group = F-43m, No. 216
VASP energy = -5.33 eV per atom

Unit cell a=5.326 b=5.326 c=5.326 alpha=60.00 beta=60.00 gamma=60.00
Positions (direct):
Er: 0.000 0.000 0.000
Nb: 0.250 0.250 0.250
Al: 0.126 0.625 0.625
Al: 0.625 0.126 0.625
Al: 0.625 0.625 0.126
Al: 0.625 0.625 0.625